# 1
{
  "formula": "LaNd14Sc",
  "functional": "PBE",
  "state": "optimized geometry",
  "cell": [[7.2515, 0.9729, 0.0000], [-0.9730, 7.2515, 0.0000], [0.0000, 0.0000, 10.3464]],
  "species": ["La", "Nd", "Nd", "Nd", "Nd", "Nd", "Nd", "Nd", "Nd", "Nd", "Nd", "Nd", "Nd", "Nd", "Nd", "Sc"],
  "fractional_positions": [[0.8753, 0.1247, 0.0000], [0.3752, 0.6248, 0.5000], [0.8747, 0.1253, 0.5000], [0.8745, 0.6245, 0.0000], [0.8754, 0.6254, 0.5000], [0.3755, 0.1255, 0.0000], [0.3746, 0.1246, 0.5000], [0.6211, 0.8711, 0.7536], [0.6211, 0.8711, 0.2464], [0.1289, 0.3789, 0.7536], [0.1289, 0.3789, 0.2464], [0.1288, 0.8712, 0.7538], [0.1288, 0.8712, 0.2462], [0.6212, 0.3788, 0.7534], [0.6212, 0.3788, 0.2466], [0.3748, 0.6252, 0.0000]],
  "n_ef_per_ev_cell": 23.8,
  "m_tot_mub_per_cell": 0.0,
  "e_form_ev_per_atom": 0.021
}



# 2
{
  "formula": "Ba2As3PdPt12",
  "functional": "PBE",
  "state": "optimized geometry",
  "cell": [[8.0533, -0.2106, -0.1494], [3.7940, 7.1067, -0.1494], [3.7940, 2.2084, 6.7565]],
  "species": ["Ba", "Ba", "As", "As", "As", "Pd", "Pt", "Pt", "Pt", "Pt", "Pt", "Pt", "Pt", "Pt", "Pt", "Pt", "Pt", "Pt"],
  "fractional_positions": [[0.6176, 0.6176, 0.6176], [0.3824, 0.3824, 0.3824], [0.5000, 0.0000, 0.0000], [0.0000, 0.5000, 0.0000], [0.0000, 0.0000, 0.5000], [0.0000, 0.0000, 0.0000], [0.3501, 0.3501, 0.8955], [0.8803, 0.8803, 0.3698], [0.3698, 0.8803, 0.8803], [0.8955, 0.3501, 0.3501], [0.8803, 0.3698, 0.8803], [0.3501, 0.8955, 0.3501], [0.6499, 0.6499, 0.1045], [0.1197, 0.1197, 0.6302], [0.6302, 0.1197, 0.1197], [0.1045, 0.6499, 0.6499], [0.1197, 0.6302, 0.1197], [0.6499, 0.1045, 0.6499]],
  "n_ef_per_ev_cell": 8.4,
  "m_tot_mub_per_cell": 0.0,
  "e_form_ev_per_atom": -0.053
}



# 3
{
  "formula": "Y2Zn2GaPt5",
  "functional": "PBE",
  "state": "optimized geometry",
  "cell": [[3.7551, 0.0000, 0.0000], [0.0000, 9.6633, 0.0000], [0.0000, 0.0000, 9.6633]],
  "species": ["Y", "Y", "Y", "Y", "Zn", "Zn", "Zn", "Zn", "Ga", "Ga", "Pt", "Pt", "Pt", "Pt", "Pt", "Pt", "Pt", "Pt", "Pt", "Pt"],
  "fractional_positions": [[0.0000, 0.6752, 0.1752], [0.0000, 0.3248, 0.8248], [0.0000, 0.1752, 0.3248], [0.0000, 0.8248, 0.6752], [0.0000, 0.1234, 0.6234], [0.0000, 0.8766, 0.3766], [0.0000, 0.6234, 0.8766], [0.0000, 0.3766, 0.1234], [0.0000, 0.0000, 0.0000], [0.0000, 0.5000, 0.5000], [0.5000, 0.2016, 0.0631], [0.5000, 0.7984, 0.9369], [0.5000, 0.0631, 0.7984], [0.5000, 0.7016, 0.4369], [0.5000, 0.9369, 0.2016], [0.5000, 0.2984, 0.5631], [0.5000, 0.5631, 0.7016], [0.5000, 0.4369, 0.2984], [0.5000, 0.5000, 0.0000], [0.5000, 0.0000, 0.5000]],
  "n_ef_per_ev_cell": 8.1,
  "m_tot_mub_per_cell": 0.0,
  "e_form_ev_per_atom": -0.836
}



# 4
{
  "formula": "Pr6SmZn2",
  "functional": "PBE",
  "state": "optimized geometry",
  "cell": [[-0.5059, -3.6236, 0.9164], [0.1036, -3.4399, -5.7825], [11.2987, -3.7491, -0.8255]],
  "species": ["Pr", "Pr", "Pr", "Pr", "Pr", "Pr", "Sm", "Zn", "Zn"],
  "fractional_positions": [[0.6885, 0.4983, 0.1247], [0.3115, 0.5017, 0.8753], [0.3121, 0.7840, 0.5917], [0.9721, 0.7291, 0.3267], [0.0279, 0.2709, 0.6733], [0.6879, 0.2160, 0.4083], [0.0000, 0.0000, 0.0000], [0.3542, 0.0944, 0.1972], [0.6458, 0.9056, 0.8028]],
  "n_ef_per_ev_cell": 9.5,
  "m_tot_mub_per_cell": 0.0,
  "e_form_ev_per_atom": -0.130
}